# TcPbCl2

A relaxed TcPbCl2 crystal (PBE-GGA, Alexandria).

The density of states at the Fermi level is 15.54 states/eV/cell. The size of the total moment is 12.0 μB/cell. The formation energy (no corrections) is 0.510 eV per atom. For the total energy, the calculation gives -62.91 eV for the cell shown.

It has space group F-43m (No. 216), with a = 7.0881 Å, b = 7.0881 Å, c = 7.0881 Å, α = 90.00°, β = 90.00° and γ = 90.00°. The inequivalent atoms are Tc at (0.0000, 0.0000, 0.0000), Pb at (0.2500, 0.2500, 0.2500), Cl at (0.0000, 0.0000, 0.5000) and Cl at (0.2500, 0.2500, 0.7500).

# CrRe2Si

A relaxed CrRe2Si crystal (PBE-GGA, Alexandria).

The density of states at the Fermi level is 5.90 states/eV/cell. The size of the total moment is 0.6 μB/cell. The formation energy (no corrections) is -0.035 eV per atom. For the total energy, the calculation gives -80.16 eV for the cell shown.

It has space group Immm (No. 71), with a = 3.0185 Å, b = 4.2914 Å, c = 8.3573 Å, α = 90.00°, β = 90.00° and γ = 90.00°. The inequivalent atoms are Cr at (0.0000, 0.0000, 0.0000), Re at (0.0000, 0.5000, 0.2429) and Si at (0.0000, 0.0000, 0.5000).

# SrTcW

A relaxed SrTcW crystal (PBE-GGA, Alexandria).

The density of states at the Fermi level is 13.59 states/eV/cell. The size of the total moment is 0.0 μB/cell. For the total energy, the calculation gives -89.16 eV for the cell shown. The value obtained for the formation energy is 87.2 kJ per mole of atoms.

It has space group Fmm2 (No. 42), with a = 3.3225 Å, b = 4.9132 Å, c = 14.9211 Å, α = 90.00°, β = 90.00° and γ = 90.00°. The inequivalent atoms are Sr at (0.0000, 0.0000, 0.0000), Tc at (0.0000, 0.0000, 0.3189) and W at (0.0000, 0.0000, 0.6933).

# Pr4HoIn2

A relaxed Pr4HoIn2 crystal (PBE-GGA, Alexandria).

The density of states at the Fermi level is 35.90 states/eV/cell. The size of the total moment is 0.0 μB/cell. For the total energy, the calculation gives -115.78 eV for the cell shown. The value obtained for the formation energy is 3.2 kJ per mole of atoms.

It has space group Fmmm (No. 69), with a = 7.0394 Å, b = 10.1393 Å, c = 12.8886 Å, α = 90.00°, β = 90.00° and γ = 90.00°. The inequivalent atoms are Pr at (0.2500, 0.2500, 0.0000), Pr at (0.2500, 0.2500, 0.2500), Ho at (0.0000, 0.0000, 0.0000) and In at (0.0000, 0.0000, 0.3774).

# Tb4Dy7Tm

A relaxed Tb4Dy7Tm crystal (PBE-GGA, Alexandria).

The density of states at the Fermi level is 19.49 states/eV/cell. The size of the total moment is 0.0 μB/cell. For the total energy, the calculation gives -54.14 eV for the cell shown. The value obtained for the formation energy is 8.6 kJ per mole of atoms.

It has space group P-1 (No. 2), with a = 6.4652 Å, b = 6.7615 Å, c = 9.0041 Å, α = 85.97°, β = 76.98° and γ = 82.18°. The inequivalent atoms are Tb at (0.1408, 0.3062, 0.2835), Tb at (0.3408, 0.8848, 0.6900), Dy at (0.0122, 0.2524, 0.9486), Dy at (0.1857, 0.7988, 0.3594), Dy at (0.3083, 0.3950, 0.6145), Dy at (0.5000, 0.0000, 0.0000) and Tm at (0.5000, 0.5000, 0.0000).

# PuCu4P2

A relaxed PuCu4P2 crystal (PBE-GGA, Alexandria).

The density of states at the Fermi level is 19.63 states/eV/cell. The size of the total moment is 11.0 μB/cell. For the total energy, the calculation gives -89.05 eV for the cell shown. The value obtained for the formation energy is -41.2 kJ per mole of atoms.

It has space group P4_2/mnm (No. 136), with a = 7.2570 Å, b = 7.2570 Å, c = 3.8213 Å, α = 90.00°, β = 90.00° and γ = 90.00°. The inequivalent atoms are Pu at (0.0000, 0.0000, 0.0000), Cu at (0.0856, 0.3392, 0.5000) and P at (0.2146, 0.7854, 0.5000).

# BePb2W

A relaxed BePb2W crystal (PBE-GGA, Alexandria).

The density of states at the Fermi level is 6.11 states/eV/cell. The size of the total moment is 1.4 μB/cell. For the total energy, the calculation gives -39.02 eV for the cell shown. The value obtained for the formation energy is 110.6 kJ per mole of atoms.

It has space group I-4m2 (No. 119), with a = 4.1329 Å, b = 4.1329 Å, c = 9.4584 Å, α = 90.00°, β = 90.00° and γ = 90.00°. The inequivalent atoms are Be at (0.0000, 0.0000, 0.0000), Pb at (0.0000, 0.0000, 0.5000), Pb at (0.0000, 0.5000, 0.7500) and W at (0.0000, 0.5000, 0.2500).

# AsPBr2

A relaxed AsPBr2 crystal (PBE-GGA, Alexandria).

The density of states at the Fermi level is 2.68 states/eV/cell. The size of the total moment is 0.0 μB/cell. The formation energy (no corrections) is 0.885 eV per atom. For the total energy, the calculation gives -9.87 eV for the cell shown.

It has space group P4/mmm (No. 123), with a = 4.6004 Å, b = 4.6004 Å, c = 4.0313 Å, α = 90.00°, β = 90.00° and γ = 90.00°. The inequivalent atoms are As at (0.0000, 0.0000, 0.0000), P at (0.5000, 0.5000, 0.0000) and Br at (0.0000, 0.5000, 0.5000).

# Pm5Pr2ErSc

A relaxed Pm5Pr2ErSc crystal (PBE-GGA, Alexandria).

The density of states at the Fermi level is 49.89 states/eV/cell. The size of the total moment is 0.0 μB/cell. For the total energy, the calculation gives -172.63 eV for the cell shown. The value obtained for the formation energy is 11.2 kJ per mole of atoms.

It has space group Cmcm (No. 63), with a = 5.4265 Å, b = 22.1120 Å, c = 10.1830 Å, α = 90.00°, β = 90.00° and γ = 90.00°. The inequivalent atoms are Pm at (0.0000, 0.0000, 0.0000), Pm at (0.0000, 0.1278, 0.2500), Pm at (0.0000, 0.2229, 0.5630), Pm at (0.0000, 0.5000, 0.2500), Pr at (0.0000, 0.3840, 0.5034), Er at (0.0000, 0.1027, 0.7500) and Sc at (0.0000, 0.2877, 0.2500).

# PuPaIn

A relaxed PuPaIn crystal (PBE-GGA, Alexandria).

The density of states at the Fermi level is 7.95 states/eV/cell. The size of the total moment is 6.0 μB/cell. For the total energy, the calculation gives -26.46 eV for the cell shown. The value obtained for the formation energy is 3.4 kJ per mole of atoms.

It has space group P-6m2 (No. 187), with a = 5.1648 Å, b = 5.1648 Å, c = 3.1166 Å, α = 90.00°, β = 90.00° and γ = 120.00°. The inequivalent atoms are Pu at (0.0000, 0.0000, 0.0000), Pa at (0.3333, 0.6667, 0.0000) and In at (0.6667, 0.3333, 0.5000).

# NaMo3W

A relaxed NaMo3W crystal (PBE-GGA, Alexandria).

The density of states at the Fermi level is 8.03 states/eV/cell. The size of the total moment is 0.0 μB/cell. For the total energy, the calculation gives -38.12 eV for the cell shown. The value obtained for the formation energy is 166.9 kJ per mole of atoms.

It has space group Pm-3m (No. 221), with a = 4.8335 Å, b = 4.8335 Å, c = 4.8335 Å, α = 90.00°, β = 90.00° and γ = 90.00°. The inequivalent atoms are Na at (0.0000, 0.0000, 0.0000), Mo at (0.0000, 0.5000, 0.5000) and W at (0.5000, 0.5000, 0.5000).

# Ac2CuGe4Pd3

A relaxed Ac2CuGe4Pd3 crystal (PBE-GGA, Alexandria).

The density of states at the Fermi level is 6.61 states/eV/cell. The size of the total moment is 0.0 μB/cell. For the total energy, the calculation gives -53.74 eV for the cell shown. The value obtained for the formation energy is -71.2 kJ per mole of atoms.

It has space group P-4m2 (No. 115), with a = 4.4554 Å, b = 4.4554 Å, c = 10.3559 Å, α = 90.00°, β = 90.00° and γ = 90.00°. The inequivalent atoms are Ac at (0.0000, 0.5000, 0.2468), Cu at (0.5000, 0.5000, 0.0000), Ge at (0.0000, 0.0000, 0.5000), Ge at (0.0000, 0.5000, 0.8750), Ge at (0.5000, 0.5000, 0.5000), Pd at (0.0000, 0.0000, 0.0000) and Pd at (0.0000, 0.5000, 0.6273).

Copy entry 4 word for word.
# Pr4HoIn2

A relaxed Pr4HoIn2 crystal (PBE-GGA, Alexandria).

The density of states at the Fermi level is 35.90 states/eV/cell. The size of the total moment is 0.0 μB/cell. For the total energy, the calculation gives -115.78 eV for the cell shown. The value obtained for the formation energy is 3.2 kJ per mole of atoms.

It has space group Fmmm (No. 69), with a = 7.0394 Å, b = 10.1393 Å, c = 12.8886 Å, α = 90.00°, β = 90.00° and γ = 90.00°. The inequivalent atoms are Pr at (0.2500, 0.2500, 0.0000), Pr at (0.2500, 0.2500, 0.2500), Ho at (0.0000, 0.0000, 0.0000) and In at (0.0000, 0.0000, 0.3774).